Record 1
# RbSmHgI6 PBE-GGA relaxed
# - formation energy from raw total energies (eV/atom) = -1.02
data_RbSmHgI6
_chemical_formula_sum 'Rb1 Sm1 Hg1 I6'
_space_group_name_H-M_alt 'P 3 1 2'
_space_group_IT_number 149
_space_group_name_Hall 'P 3 2'
_cell_length_a 7.9809
_cell_length_b 7.9809
_cell_length_c 8.1559
_cell_angle_alpha 90.00
_cell_angle_beta 90.00
_cell_angle_gamma 120.00
loop_
_atom_site_label
_atom_site_type_symbol
_atom_site_fract_x
_atom_site_fract_y
_atom_site_fract_z
Rb1 Rb 0.0000 0.0000 0.0000
Sm1 Sm 0.3333 0.6667 0.5000
Hg1 Hg 0.6667 0.3333 0.5000
I1 I 0.3756 0.0023 0.7211


Record 2
# Sr2NiPbC PBE-GGA relaxed
# - energy of formation (eV/atom) = -0.06
data_Sr2NiPbC
_chemical_formula_sum 'Sr2 Ni1 Pb1 C1'
_space_group_name_H-M_alt 'P 4/m m m'
_space_group_IT_number 123
_space_group_name_Hall '-P 4 2'
_cell_length_a 5.751
_cell_length_b 5.751
_cell_length_c 3.669
_cell_angle_alpha 90.00
_cell_angle_beta 90.00
_cell_angle_gamma 90.00
loop_
_atom_site_label
_atom_site_type_symbol
_atom_site_fract_x
_atom_site_fract_y
_atom_site_fract_z
Sr1 Sr 0.000 0.500 0.000
Ni1 Ni 0.000 0.000 0.500
Pb1 Pb 0.500 0.500 0.500
C1 C 0.000 0.000 0.000


Record 3
# YRe PBE-GGA relaxed
# - energy of formation (eV/atom) = 0.25
data_YRe
_chemical_formula_sum 'Y6 Re6'
_space_group_name_H-M_alt 'C 1 2/m 1'
_space_group_IT_number 12
_space_group_name_Hall '-C 2y'
_cell_length_a 10.357
_cell_length_b 3.190
_cell_length_c 8.494
_cell_angle_alpha 90.00
_cell_angle_beta 112.28
_cell_angle_gamma 90.00
loop_
_atom_site_label
_atom_site_type_symbol
_atom_site_fract_x
_atom_site_fract_y
_atom_site_fract_z
Y1 Y 0.000 0.000 0.000
Y2 Y 0.180 0.500 0.782
Re1 Re 0.000 0.000 0.500
Re2 Re 0.158 0.500 0.394


Record 4
# PmSm3Co PBE-GGA relaxed
# - distance to the lowest polymorph of the same formula (meV/atom) = 64
# - energy of formation (eV/atom) = 0.00
data_PmSm3Co
_chemical_formula_sum 'Pm2 Sm6 Co2'
_space_group_name_H-M_alt 'P m n 21'
_space_group_IT_number 31
_space_group_name_Hall 'P 2ac -2'
_cell_length_a 7.598
_cell_length_b 6.458
_cell_length_c 6.235
_cell_angle_alpha 90.00
_cell_angle_beta 90.00
_cell_angle_gamma 90.00
loop_
_atom_site_label
_atom_site_type_symbol
_atom_site_fract_x
_atom_site_fract_y
_atom_site_fract_z
Pm1 Pm 0.000 0.154 0.000
Sm1 Sm 0.000 0.844 0.495
Sm2 Sm 0.250 0.328 0.498
Co1 Co 0.000 0.500 0.748


Record 5
# LiTl PBE-GGA relaxed
# - energy of formation (eV/atom) = -0.05
data_LiTl
_chemical_formula_sum 'Li4 Tl4'
_space_group_name_H-M_alt 'F m -3 m'
_space_group_IT_number 225
_space_group_name_Hall '-F 4 2 3'
_cell_length_a 5.743
_cell_length_b 5.743
_cell_length_c 5.743
_cell_angle_alpha 90.00
_cell_angle_beta 90.00
_cell_angle_gamma 90.00
loop_
_atom_site_label
_atom_site_type_symbol
_atom_site_fract_x
_atom_site_fract_y
_atom_site_fract_z
Li1 Li 0.000 0.000 0.000
Tl1 Tl 0.000 0.000 0.500


Record 6
# PuIn6 PBE-GGA relaxed
# - distance to the lowest polymorph of the same formula (meV/atom) = 0
# - energy of formation (eV/atom) = -0.01
data_PuIn6
_chemical_formula_sum 'Pu2 In12'
_space_group_name_H-M_alt 'P 4/n b m'
_space_group_IT_number 125
_cell_length_a 6.637
_cell_length_b 6.637
_cell_length_c 8.656
_cell_angle_alpha 90.00
_cell_angle_beta 90.00
_cell_angle_gamma 90.00
loop_
_space_group_symop_operation_xyz
'x,y,z'
'-x,-y,-z'
'-y+1/2,x,z'
'y+1/2,-x,-z'
'-x+1/2,-y+1/2,z'
'x+1/2,y+1/2,-z'
'y,-x+1/2,z'
'-y,x+1/2,-z'
'x,-y+1/2,-z'
'-x,y+1/2,z'
'-y+1/2,-x+1/2,-z'
'y+1/2,x+1/2,z'
'-x+1/2,y,-z'
'x+1/2,-y,z'
'y,x,-z'
'-y,-x,z'
loop_
_atom_site_label
_atom_site_type_symbol
_atom_site_fract_x
_atom_site_fract_y
_atom_site_fract_z
Pu1 Pu 0.250 0.750 0.000
In1 In 0.079 0.579 0.352
In2 In 0.250 0.250 0.159


Record 7
# LiMg3In3Cu2 PBE-GGA relaxed
# - energy of formation (eV/atom) = -0.11
data_LiMg3In3Cu2
_chemical_formula_sum 'Li1 Mg3 In3 Cu2'
_space_group_name_H-M_alt 'P -6 2 m'
_space_group_IT_number 189
_space_group_name_Hall 'P -6 -2'
_cell_length_a 7.8754
_cell_length_b 7.8754
_cell_length_c 3.2062
_cell_angle_alpha 90.00
_cell_angle_beta 90.00
_cell_angle_gamma 120.00
loop_
_atom_site_label
_atom_site_type_symbol
_atom_site_fract_x
_atom_site_fract_y
_atom_site_fract_z
Li1 Li 0.0000 0.0000 0.0000
Mg1 Mg 0.0000 0.3792 0.0000
In1 In 0.0000 0.7033 0.5000
Cu1 Cu 0.3333 0.6667 0.5000


Record 8
# Sm3Ho8Sc2 PBE-GGA relaxed
# - distance to the lowest polymorph of the same formula (meV/atom) = 0
# - energy of formation (eV/atom) = 0.24
data_Sm3Ho8Sc2
_chemical_formula_sum 'Sm6 Ho16 Sc4'
_space_group_name_H-M_alt 'C 1 2/m 1'
_space_group_IT_number 12
_space_group_name_Hall '-C 2y'
_cell_length_a 14.583
_cell_length_b 9.055
_cell_length_c 6.742
_cell_angle_alpha 90.00
_cell_angle_beta 109.19
_cell_angle_gamma 90.00
loop_
_atom_site_label
_atom_site_type_symbol
_atom_site_fract_x
_atom_site_fract_y
_atom_site_fract_z
Sm1 Sm 0.000 0.000 0.000
Sm2 Sm 0.000 0.173 0.500
Ho1 Ho 0.091 0.500 0.725
Ho2 Ho 0.121 0.320 0.191
Ho3 Ho 0.192 0.000 0.898
Sc1 Sc 0.206 0.000 0.424


Record 9
# AcTlHg PBE-GGA relaxed
# - distance to the lowest polymorph of the same formula (meV/atom) = 42
# - energy of formation (eV/atom) = -0.38
data_AcTlHg
_chemical_formula_sum 'Ac1 Tl1 Hg1'
_space_group_name_H-M_alt 'P 3 m 1'
_space_group_IT_number 156
_space_group_name_Hall 'P 3 -2"'
_cell_length_a 5.1977
_cell_length_b 5.1977
_cell_length_c 4.0050
_cell_angle_alpha 90.00
_cell_angle_beta 90.00
_cell_angle_gamma 120.00
loop_
_atom_site_label
_atom_site_type_symbol
_atom_site_fract_x
_atom_site_fract_y
_atom_site_fract_z
Ac1 Ac 0.0000 0.0000 0.0000
Tl1 Tl 0.3333 0.6667 0.5470
Hg1 Hg 0.6667 0.3333 0.4515


Record 10
# Sr2HSe PBE-GGA relaxed
# - distance to the lowest polymorph of the same formula (meV/atom) = 0
data_Sr2HSe
_chemical_formula_sum 'Sr6 H3 Se3'
_space_group_name_H-M_alt 'R -3 m'
_space_group_IT_number 166
_space_group_name_Hall '-R 3 2"'
_cell_length_a 4.2545
_cell_length_b 4.2545
_cell_length_c 20.5532
_cell_angle_alpha 90.00
_cell_angle_beta 90.00
_cell_angle_gamma 120.00
loop_
_atom_site_label
_atom_site_type_symbol
_atom_site_fract_x
_atom_site_fract_y
_atom_site_fract_z
Sr1 Sr 0.0000 0.0000 0.2437
H1 H 0.0000 0.0000 0.5000
Se1 Se 0.0000 0.0000 0.0000


Record 11
# Cs2BaBeCl6 PBE-GGA relaxed
# - formation energy from raw total energies (eV/atom) = -1.84
data_Cs2BaBeCl6
_chemical_formula_sum 'Cs4 Ba2 Be2 Cl12'
_space_group_name_H-M_alt 'I 4/m m m'
_space_group_IT_number 139
_space_group_name_Hall '-I 4 2'
_cell_length_a 7.562
_cell_length_b 7.562
_cell_length_c 10.761
_cell_angle_alpha 90.00
_cell_angle_beta 90.00
_cell_angle_gamma 90.00
loop_
_atom_site_label
_atom_site_type_symbol
_atom_site_fract_x
_atom_site_fract_y
_atom_site_fract_z
Cs1 Cs 0.000 0.500 0.250
Ba1 Ba 0.000 0.000 0.000
Be1 Be 0.000 0.000 0.500
Cl1 Cl 0.000 0.000 0.281
Cl2 Cl 0.217 0.217 0.500


Record 12
# Hf5CoRe4 PBE-GGA relaxed
# - energy of formation (eV/atom) = -0.35
data_Hf5CoRe4
_chemical_formula_sum 'Hf5 Co1 Re4'
_space_group_name_H-M_alt 'P 4/m m m'
_space_group_IT_number 123
_space_group_name_Hall '-P 4 2'
_cell_length_a 3.261
_cell_length_b 3.261
_cell_length_c 16.236
_cell_angle_alpha 90.00
_cell_angle_beta 90.00
_cell_angle_gamma 90.00
loop_
_atom_site_label
_atom_site_type_symbol
_atom_site_fract_x
_atom_site_fract_y
_atom_site_fract_z
Hf1 Hf 0.000 0.000 0.000
Hf2 Hf 0.000 0.000 0.203
Hf3 Hf 0.000 0.000 0.404
Co1 Co 0.500 0.500 0.500
Re1 Re 0.500 0.500 0.101
Re2 Re 0.500 0.500 0.306


Record 13
# TaOsRu3 PBE-GGA relaxed
# - distance to the lowest polymorph of the same formula (meV/atom) = 586
# - energy of formation (eV/atom) = 1.74
data_TaOsRu3
_chemical_formula_sum 'Ta1 Os1 Ru3'
_space_group_name_H-M_alt 'P m -3 m'
_space_group_IT_number 221
_space_group_name_Hall '-P 4 2 3'
_cell_length_a 4.611
_cell_length_b 4.611
_cell_length_c 4.611
_cell_angle_alpha 90.00
_cell_angle_beta 90.00
_cell_angle_gamma 90.00
loop_
_atom_site_label
_atom_site_type_symbol
_atom_site_fract_x
_atom_site_fract_y
_atom_site_fract_z
Ta1 Ta 0.000 0.000 0.000
Os1 Os 0.500 0.500 0.500
Ru1 Ru 0.000 0.500 0.500


Record 14
# RbGaC PBE-GGA relaxed
# - energy of formation (eV/atom) = 0.33
data_RbGaC
_chemical_formula_sum 'Rb2 Ga2 C2'
_space_group_name_H-M_alt 'P 1'
_space_group_IT_number 1
_space_group_name_Hall 'P 1'
_cell_length_a 4.638
_cell_length_b 6.013
_cell_length_c 7.372
_cell_angle_alpha 68.16
_cell_angle_beta 87.40
_cell_angle_gamma 69.96
loop_
_atom_site_label
_atom_site_type_symbol
_atom_site_fract_x
_atom_site_fract_y
_atom_site_fract_z
Rb1 Rb 0.000 0.000 0.000
Rb2 Rb 0.151 0.697 0.621
Ga1 Ga 0.330 0.264 0.303
Ga2 Ga 0.749 0.446 0.322
C1 C 0.475 0.067 0.676
C2 C 0.619 0.211 0.573


Record 15
# Ti3SbSe PBE-GGA relaxed
# - formation energy from raw total energies (eV/atom) = -0.60
# - distance to the lowest polymorph of the same formula (meV/atom) = 0
data_Ti3SbSe
_chemical_formula_sum 'Ti12 Sb4 Se4'
_space_group_name_H-M_alt 'C 1 m 1'
_space_group_IT_number 8
_space_group_name_Hall 'C -2y'
_cell_length_a 14.965
_cell_length_b 3.692
_cell_length_c 7.116
_cell_angle_alpha 90.00
_cell_angle_beta 109.69
_cell_angle_gamma 90.00
loop_
_atom_site_label
_atom_site_type_symbol
_atom_site_fract_x
_atom_site_fract_y
_atom_site_fract_z
Ti1 Ti 0.000 0.000 0.000
Ti2 Ti 0.003 0.000 0.520
Ti3 Ti 0.148 0.500 0.428
Ti4 Ti 0.172 0.000 0.814
Ti5 Ti 0.303 0.500 0.180
Ti6 Ti 0.346 0.000 0.527
Sb1 Sb 0.305 0.500 0.784
Sb2 Sb 0.446 0.000 0.224
Se1 Se 0.041 0.500 0.786
Se2 Se 0.184 0.000 0.197


Record 16
# NdCd2Pd8 PBE-GGA relaxed
# - energy of formation (eV/atom) = -0.43
data_NdCd2Pd8
_chemical_formula_sum 'Nd2 Cd4 Pd16'
_space_group_name_H-M_alt 'C 1 2/m 1'
_space_group_IT_number 12
_space_group_name_Hall '-C 2y'
_cell_length_a 14.633
_cell_length_b 4.190
_cell_length_c 6.456
_cell_angle_alpha 90.00
_cell_angle_beta 105.59
_cell_angle_gamma 90.00
loop_
_atom_site_label
_atom_site_type_symbol
_atom_site_fract_x
_atom_site_fract_y
_atom_site_fract_z
Nd1 Nd 0.000 0.000 0.000
Cd1 Cd 0.225 0.500 0.648
Pd1 Pd 0.043 0.500 0.718
Pd2 Pd 0.092 0.000 0.467
Pd3 Pd 0.141 0.500 0.190
Pd4 Pd 0.183 0.000 0.913


Record 17
# ZrTaMnFe2 PBE-GGA relaxed
# - energy of formation (eV/atom) = 0.70
data_ZrTaMnFe2
_chemical_formula_sum 'Zr1 Ta1 Mn1 Fe2'
_space_group_name_H-M_alt 'P 4/m m m'
_space_group_IT_number 123
_space_group_name_Hall '-P 4 2'
_cell_length_a 4.240
_cell_length_b 4.240
_cell_length_c 4.586
_cell_angle_alpha 90.00
_cell_angle_beta 90.00
_cell_angle_gamma 90.00
loop_
_atom_site_label
_atom_site_type_symbol
_atom_site_fract_x
_atom_site_fract_y
_atom_site_fract_z
Zr1 Zr 0.000 0.000 0.000
Ta1 Ta 0.500 0.500 0.000
Mn1 Mn 0.500 0.500 0.500
Fe1 Fe 0.000 0.500 0.500


Record 18
# Tl4GaBr2 PBE-GGA relaxed
# - formation energy from raw total energies (eV/atom) = -0.22
data_Tl4GaBr2
_chemical_formula_sum 'Tl8 Ga2 Br4'
_space_group_name_H-M_alt 'I 4/m m m'
_space_group_IT_number 139
_space_group_name_Hall '-I 4 2'
_cell_length_a 5.398
_cell_length_b 5.398
_cell_length_c 17.997
_cell_angle_alpha 90.00
_cell_angle_beta 90.00
_cell_angle_gamma 90.00
loop_
_atom_site_label
_atom_site_type_symbol
_atom_site_fract_x
_atom_site_fract_y
_atom_site_fract_z
Tl1 Tl 0.000 0.000 0.173
Tl2 Tl 0.000 0.500 0.000
Ga1 Ga 0.000 0.000 0.000
Br1 Br 0.000 0.000 0.374


Record 19
# NiHPb2Au PBE-GGA relaxed
# - calculated total energy (eV for the cell shown) = -19.14
data_NiHPb2Au
_chemical_formula_sum 'Ni1 H1 Pb2 Au1'
_space_group_name_H-M_alt 'P 4/m m m'
_space_group_IT_number 123
_space_group_name_Hall '-P 4 2'
_cell_length_a 5.424
_cell_length_b 5.424
_cell_length_c 3.260
_cell_angle_alpha 90.00
_cell_angle_beta 90.00
_cell_angle_gamma 90.00
loop_
_atom_site_label
_atom_site_type_symbol
_atom_site_fract_x
_atom_site_fract_y
_atom_site_fract_z
Ni1 Ni 0.000 0.000 0.000
H1 H 0.000 0.000 0.500
Pb1 Pb 0.000 0.500 0.000
Au1 Au 0.500 0.500 0.500


Record 20
# Pm3ThS6 PBE-GGA relaxed
# - formation energy from raw total energies (eV/atom) = -2.03
data_Pm3ThS6
_chemical_formula_sum 'Pm6 Th2 S12'
_space_group_name_H-M_alt 'P 1 21/m 1'
_space_group_IT_number 11
_space_group_name_Hall '-P 2yb'
_cell_length_a 11.278
_cell_length_b 4.030
_cell_length_c 11.564
_cell_angle_alpha 90.00
_cell_angle_beta 107.73
_cell_angle_gamma 90.00
loop_
_atom_site_label
_atom_site_type_symbol
_atom_site_fract_x
_atom_site_fract_y
_atom_site_fract_z
Pm1 Pm 0.074 0.250 0.168
Pm2 Pm 0.180 0.750 0.504
Pm3 Pm 0.337 0.250 0.920
Th1 Th 0.454 0.250 0.307
S1 S 0.021 0.250 0.386
S2 S 0.099 0.250 0.933
S3 S 0.251 0.750 0.279
S4 S 0.316 0.750 0.749
S5 S 0.389 0.250 0.537
S6 S 0.419 0.750 0.102


Record 21
# Ca2MoRu PBE-GGA relaxed
# - distance to the lowest polymorph of the same formula (meV/atom) = 611
# - energy of formation (eV/atom) = 0.83
data_Ca2MoRu
_chemical_formula_sum 'Ca8 Mo4 Ru4'
_space_group_name_H-M_alt 'I -4 2 d'
_space_group_IT_number 122
_space_group_name_Hall 'I -4 2bw'
_cell_length_a 10.612
_cell_length_b 10.612
_cell_length_c 4.688
_cell_angle_alpha 90.00
_cell_angle_beta 90.00
_cell_angle_gamma 90.00
loop_
_atom_site_label
_atom_site_type_symbol
_atom_site_fract_x
_atom_site_fract_y
_atom_site_fract_z
Ca1 Ca 0.088 0.250 0.125
Mo1 Mo 0.000 0.000 0.500
Ru1 Ru 0.000 0.000 0.000


Record 22
# CrTePt3 PBE-GGA relaxed
# - formation energy from raw total energies (eV/atom) = 0.83
# - distance to the lowest polymorph of the same formula (meV/atom) = 0
data_CrTePt3
_chemical_formula_sum 'Cr1 Te1 Pt3'
_space_group_name_H-M_alt 'P m -3 m'
_space_group_IT_number 221
_space_group_name_Hall '-P 4 2 3'
_cell_length_a 4.648
_cell_length_b 4.648
_cell_length_c 4.648
_cell_angle_alpha 90.00
_cell_angle_beta 90.00
_cell_angle_gamma 90.00
loop_
_atom_site_label
_atom_site_type_symbol
_atom_site_fract_x
_atom_site_fract_y
_atom_site_fract_z
Cr1 Cr 0.000 0.000 0.000
Te1 Te 0.500 0.500 0.500
Pt1 Pt 0.000 0.000 0.500


Record 23
# HoAl8Pd4 PBE-GGA relaxed
# - energy of formation (eV/atom) = -0.72
data_HoAl8Pd4
_chemical_formula_sum 'Ho2 Al16 Pd8'
_space_group_name_H-M_alt 'I 4/m m m'
_space_group_IT_number 139
_space_group_name_Hall '-I 4 2'
_cell_length_a 8.832
_cell_length_b 8.832
_cell_length_c 5.440
_cell_angle_alpha 90.00
_cell_angle_beta 90.00
_cell_angle_gamma 90.00
loop_
_atom_site_label
_atom_site_type_symbol
_atom_site_fract_x
_atom_site_fract_y
_atom_site_fract_z
Ho1 Ho 0.000 0.000 0.000
Al1 Al 0.000 0.220 0.500
Al2 Al 0.000 0.348 0.000
Pd1 Pd 0.250 0.250 0.250


Record 24
# Er6InFe2 PBE-GGA relaxed
# - energy of formation (eV/atom) = -0.18
data_Er6InFe2
_chemical_formula_sum 'Er24 In4 Fe8'
_space_group_name_H-M_alt 'I m m m'
_space_group_IT_number 71
_space_group_name_Hall '-I 2 2'
_cell_length_a 9.388
_cell_length_b 9.551
_cell_length_c 9.935
_cell_angle_alpha 90.00
_cell_angle_beta 90.00
_cell_angle_gamma 90.00
loop_
_atom_site_label
_atom_site_type_symbol
_atom_site_fract_x
_atom_site_fract_y
_atom_site_fract_z
Er1 Er 0.000 0.215 0.230
Er2 Er 0.203 0.500 0.188
Er3 Er 0.210 0.311 0.500
In1 In 0.000 0.000 0.000
In2 In 0.000 0.000 0.500
Fe1 Fe 0.000 0.385 0.000
Fe2 Fe 0.000 0.500 0.391


Across the entries above, M_tot takes the values 0.0; 0.0; 0.0; 0.0; 0.0; 5.7; 0.0; 0.0; 0.0; 0.7; 0.0; 0.1; 0.0; 0.0; 0.0; 0.0; 1.9; 0.0; 0.0; 0.0; 2.6; 0.0; 0.0; 1.7 μB per formula unit, respectively.